1.
{
  "formula": "LiNiBr",
  "functional": "PBE",
  "state": "relaxed",
  "de_polymorph_ev_per_atom": 0.1064,
  "m_tot_mub_per_fu": 0.0,
  "cell": [[-0.173, 6.951, 4.747], [-0.559, -1.905, 2.769], [3.924, 0.533, 1.159]],
  "species": ["Li", "Ni", "Br", "Br", "Ni", "Li"],
  "frac_coords": [[0.051, 0.000, 0.113], [0.764, 0.000, 0.751], [0.993, 0.500, 0.643], [0.362, 0.000, 0.965], [0.557, 0.500, 0.855], [0.704, 0.500, 0.281]]
}



2.
{
  "formula": "CdGe3Mo",
  "functional": "PBE",
  "state": "relaxed",
  "de_polymorph_ev_per_atom": 0.0000,
  "e_form_kcal_per_mol_atoms": 7.00,
  "m_tot_mub_per_fu": 0.0,
  "cell": [[-4.154, -2.501, -0.932], [2.278, -2.424, -3.649], [1.391, -3.500, 3.193]],
  "species": ["Ge", "Mo", "Ge", "Ge", "Cd"],
  "frac_coords": [[0.000, 0.000, 0.500], [0.000, 0.000, 0.000], [0.500, 0.000, 0.000], [0.000, 0.500, 0.000], [0.500, 0.500, 0.500]]
}



3.
{
  "formula": "Li6Ca3Ag5",
  "functional": "PBE",
  "state": "relaxed",
  "e_form_kcal_per_mol_atoms": -4.64,
  "m_tot_mub_per_fu": 0.0,
  "cell": [[4.341, 0.000, 0.000], [0.000, 10.445, 0.000], [0.000, 0.000, 13.298]],
  "species": ["Ca", "Ca", "Li", "Li", "Li", "Li", "Li", "Ag", "Ag", "Ca", "Li", "Ag", "Ag", "Li", "Ag", "Li", "Li", "Ca", "Ca", "Ag", "Ag", "Li", "Ca", "Ag", "Ag", "Li", "Li", "Ag"],
  "frac_coords": [[0.500, 0.753, 0.809], [0.000, 0.267, 0.000], [0.000, 0.030, 0.500], [0.000, 0.986, 0.845], [0.500, 0.014, 0.345], [0.000, 0.986, 0.155], [0.500, 0.572, 0.000], [0.000, 0.544, 0.114], [0.500, 0.213, 0.500], [0.000, 0.247, 0.691], [0.500, 0.014, 0.655], [0.500, 0.456, 0.386], [0.500, 0.145, 0.156], [0.500, 0.415, 0.818], [0.500, 0.456, 0.614], [0.000, 0.428, 0.500], [0.500, 0.415, 0.182], [0.500, 0.733, 0.500], [0.500, 0.753, 0.191], [0.000, 0.544, 0.886], [0.000, 0.787, 0.000], [0.500, 0.970, 0.000], [0.000, 0.247, 0.309], [0.500, 0.145, 0.844], [0.000, 0.855, 0.344], [0.000, 0.585, 0.682], [0.000, 0.585, 0.318], [0.000, 0.855, 0.656]]
}



4.
{
  "formula": "LiCaIr2",
  "functional": "PBE",
  "state": "relaxed",
  "de_polymorph_ev_per_atom": 0.0726,
  "e_form_kcal_per_mol_atoms": -1.20,
  "m_tot_mub_per_fu": 0.0,
  "cell": [[-1.494, -2.301, -1.162], [3.555, -0.813, -2.962], [1.937, -2.823, 3.100]],
  "species": ["Li", "Ir", "Ir", "Ca"],
  "frac_coords": [[0.500, 0.000, 0.500], [0.500, 0.500, 0.000], [0.000, 0.000, 0.000], [0.000, 0.500, 0.500]]
}



5.
{
  "formula": "FeNiIr4",
  "functional": "PBE",
  "state": "relaxed",
  "de_polymorph_ev_per_atom": 0.0076,
  "e_form_kcal_per_mol_atoms": -0.27,
  "m_tot_mub_per_fu": 2.9,
  "cell": [[-0.229, -0.708, 2.614], [5.839, -3.412, -1.826], [4.781, 6.951, 2.300]],
  "species": ["Ni", "Ir", "Ir", "Ir", "Ir", "Fe", "Ni", "Ir", "Fe", "Ir", "Ir", "Ir"],
  "frac_coords": [[0.779, 0.557, 0.519], [0.117, 0.234, 0.519], [0.558, 0.117, 0.018], [0.883, 0.766, 0.019], [0.994, 0.988, 0.268], [0.330, 0.660, 0.270], [0.221, 0.443, 0.019], [0.329, 0.659, 0.768], [0.670, 0.340, 0.770], [0.006, 0.012, 0.768], [0.442, 0.883, 0.518], [0.671, 0.341, 0.268]]
}



6.
{
  "formula": "Cs3Sb5Au2",
  "functional": "PBE",
  "state": "relaxed",
  "total_energy_ev_per_atom": -3.20,
  "m_tot_mub_per_fu": 0.0,
  "cell": [[7.842, 0.000, 0.000], [3.921, 9.943, 0.667], [3.921, 3.282, 9.410]],
  "species": ["Sb", "Cs", "Cs", "Cs", "Au", "Sb", "Sb", "Cs", "Au", "Cs", "Cs", "Sb", "Sb", "Au", "Sb", "Au", "Sb", "Sb", "Sb", "Sb"],
  "frac_coords": [[0.129, 0.478, 0.265], [0.866, 0.869, 0.399], [0.134, 0.131, 0.601], [0.634, 0.601, 0.131], [0.838, 0.309, 0.014], [0.750, 0.500, 0.500], [0.629, 0.265, 0.478], [0.250, 0.000, 0.000], [0.662, 0.986, 0.691], [0.750, 0.000, 0.000], [0.366, 0.399, 0.869], [0.871, 0.522, 0.735], [0.984, 0.766, 0.766], [0.162, 0.691, 0.986], [0.016, 0.234, 0.234], [0.338, 0.014, 0.309], [0.484, 0.766, 0.766], [0.250, 0.500, 0.500], [0.516, 0.234, 0.234], [0.371, 0.735, 0.522]]
}



7.
{
  "formula": "NdUAs2Rh5",
  "functional": "PBE",
  "state": "relaxed",
  "e_form_kcal_per_mol_atoms": -10.00,
  "m_tot_mub_per_fu": 0.0,
  "cell": [[-2.386, 2.074, -2.454], [-2.780, 0.201, 2.873], [4.595, 9.739, 3.764]],
  "species": ["As", "U", "Rh", "Rh", "As", "Nd", "Rh", "Rh", "Rh"],
  "frac_coords": [[0.000, 0.000, 0.291], [0.000, 0.000, 0.000], [0.000, 0.500, 0.159], [0.500, 0.000, 0.841], [0.000, 0.000, 0.709], [0.500, 0.500, 0.500], [0.000, 0.500, 0.841], [0.000, 0.000, 0.500], [0.500, 0.000, 0.159]]
}



8.
{
  "formula": "BeAu2I",
  "functional": "PBE",
  "state": "relaxed",
  "de_polymorph_ev_per_atom": 0.5230,
  "m_tot_mub_per_fu": 0.0,
  "cell": [[0.000, 3.438, 3.438], [3.438, 0.000, 3.438], [3.438, 3.438, 0.000]],
  "species": ["Au", "Au", "I", "Be"],
  "frac_coords": [[0.250, 0.250, 0.250], [0.750, 0.750, 0.750], [0.500, 0.500, 0.500], [0.000, 0.000, 0.000]]
}